This record from Alexandria describes a relaxed structure of OsAuBr2. The functional is GGA-PBE.

Values from the calculation:
total magnetization: 0.00 Bohr magnetons per cell
volume: 106.2 Å³/f.u.
raw formation energy: 0.75 eV/atom
relative energy among the computed polymorphs: 1.27 eV per formula unit
calculated total energy: -3.717 eV per atom
N(E_F): 2.3 states/eV/f.u.

a = 3.6784 Å, b = 3.6784 Å, c = 27.1988 Å
α = 90.00°, β = 90.00°, γ = 120.00°
Space group R-3m (No. 166, hexagonal axes)
Unique sites:
1 Os 0.0000 0.0000 0.0000 x3
2 Au 0.0000 0.0000 0.5000 x3
3 Br 0.0000 0.0000 0.3830 x6

=====

This record from Alexandria describes a relaxed structure of LiPrZnGe2. The functional is GGA-PBE.

Values from the calculation:
total magnetization: 0.00 Bohr magnetons per cell
energy of formation from the pure elements: -0.5493 eV/atom
volume: 97.9 Å³/f.u.
calculated total energy: -3.990 eV per atom
N(E_F): 2.8 states/eV/f.u.

a = 4.2225 Å, b = 4.2225 Å, c = 10.9782 Å
α = 90.00°, β = 90.00°, γ = 90.00°
Space group I-4m2 (No. 119)
Unique sites:
1 Li 0.0000 0.0000 0.0000 x2
2 Pr 0.0000 0.5000 0.2500 x2
3 Zn 0.0000 0.0000 0.5000 x2
4 Ge 0.0000 0.5000 0.6349 x4

=====

This record from Alexandria describes a relaxed structure of TlP2PdSe8. The functional is GGA-PBE.

Values from the calculation:
total magnetization: 0.00 Bohr magnetons per cell
volume: 327.8 Å³/f.u.
raw formation energy: -0.05 eV/atom
calculated total energy: -3.902 eV per atom
N(E_F): 6.7 states/eV/f.u.

a = 5.9015 Å, b = 5.9015 Å, c = 32.6042 Å
α = 90.00°, β = 90.00°, γ = 120.00°
Space group R-3 (No. 148, hexagonal axes)
Unique sites:
1 Tl 0.0000 0.0000 0.0000 x3
2 P 0.0000 0.0000 0.2395 x6
3 Pd 0.0000 0.0000 0.5000 x3
4 Se 0.0000 0.0000 0.3059 x6
5 Se 0.0225 0.3077 0.1173 x18

=====

This record from Alexandria describes a relaxed structure of La5Sm4. The functional is GGA-PBE.

Values from the calculation:
total magnetization: 0.00 Bohr magnetons per cell
energy of formation from the pure elements: 0.1054 eV/atom
volume: 319.5 Å³/f.u.
relative energy among the computed polymorphs: 0.77 eV per formula unit
calculated total energy: -4.729 eV per atom
N(E_F): 20.2 states/eV/f.u.

a = 13.0374 Å, b = 13.0374 Å, c = 3.7599 Å
α = 90.00°, β = 90.00°, γ = 90.00°
Space group I4/mmm (No. 139)
Unique sites:
1 La 0.0000 0.0000 0.0000 x2
2 La 0.1671 0.1671 0.5000 x8
3 Sm 0.0000 0.3388 0.0000 x8